# TeRuSe2Br PBEsol optimized geometry
# V = 113.2 Å³/cell
# energy relative to the elements, uncorrected = 6.758 kcal/mol of atoms
# E = -4.36 eV per atom
data_TeRuSe2Br
_chemical_formula_sum 'Te1 Ru1 Se2 Br1'
_space_group_name_H-M_alt 'P 4/m m m'
_space_group_IT_number 123
_space_group_name_Hall '-P 4 2'
_cell_length_a 4.796
_cell_length_b 4.796
_cell_length_c 4.921
_cell_angle_alpha 90.00
_cell_angle_beta 90.00
_cell_angle_gamma 90.00
loop_
_atom_site_label
_atom_site_type_symbol
_atom_site_fract_x
_atom_site_fract_y
_atom_site_fract_z
_atom_site_occupancy
Te1 Te 0.000 0.000 0.000 1
Ru1 Ru 0.500 0.500 0.500 1
Se1 Se 0.000 0.500 0.500 1
Br1 Br 0.500 0.500 0.000 1

***

# RuWSe2Br PBEsol optimized geometry
# V = 109.0 Å³/cell
# energy relative to the elements, uncorrected = 30.734 kcal/mol of atoms
# E = -5.38 eV per atom
data_RuWSe2Br
_chemical_formula_sum 'Ru1 W1 Se2 Br1'
_space_group_name_H-M_alt 'P 4/m m m'
_space_group_IT_number 123
_space_group_name_Hall '-P 4 2'
_cell_length_a 4.766
_cell_length_b 4.766
_cell_length_c 4.798
_cell_angle_alpha 90.00
_cell_angle_beta 90.00
_cell_angle_gamma 90.00
loop_
_atom_site_label
_atom_site_type_symbol
_atom_site_fract_x
_atom_site_fract_y
_atom_site_fract_z
_atom_site_occupancy
Ru1 Ru 0.000 0.000 0.000 1
W1 W 0.500 0.500 0.500 1
Se1 Se 0.000 0.500 0.000 1
Br1 Br 0.000 0.000 0.500 1

***

Question: Among the records above, which one has the highest energy relative to the elements, uncorrected?
Answer: RuWSe2Br